(1)
Material: IrBr
Method: DFT, meta-GGA SCAN
State: PBEsol geometry

Its space-group type is R-3m (166). The formation energy without anion corrections comes out at 1.3651 eV per atom. Its distance to the lowest polymorph of the same formula is 882 meV/atom.

Cell: 3.090 3.090 4.428 Å, 69.58 69.58 60.00°
Each line ends with the local moment (μB).
Fractional coordinates of all 2 atoms:
Ir 0.500 0.500 0.500  0.12
Br 0.000 0.000 0.000  0.01

***

(2)
Material: HfAl3Sn
Method: DFT, meta-GGA SCAN
State: PBEsol geometry

Its space-group type is Pm-3m (221). Its formation energy from the elements is 1206 meV per atom.

Cell: 5.009 5.009 5.009 Å, 90.00 90.00 90.00°
Fractional coordinates of all 5 atoms:
Hf 0.500 0.500 0.500
Al 0.000 0.500 0.000
Al 0.500 0.000 0.000
Al 0.000 0.000 0.500
Sn 0.000 0.000 0.000

***

(3)
Material: LiCa
Method: DFT, meta-GGA SCAN
State: PBEsol geometry

Its space-group type is Pm-3m (221). Its distance to the lowest polymorph of the same formula is 15 meV/atom. Its formation energy from the elements is 28 meV per atom.

Cell: 3.937 3.937 3.937 Å, 90.00 90.00 90.00°
Fractional coordinates of all 2 atoms:
Ca 0.000 0.000 0.000
Li 0.500 0.500 0.500

***

(4)
Material: Hf3Mn2Ga6
Method: DFT, meta-GGA SCAN
State: PBEsol geometry

Its space-group type is Pmmn (59). Its formation energy from the elements is -516 meV per atom.

Cell: 5.289 7.565 8.574 Å, 90.00 90.00 90.00°
Each line ends with the local moment (μB).
Fractional coordinates of all 22 atoms:
Ga 0.000 0.633 0.000  -0.08
Ga 0.240 0.959 0.000  0.01
Hf 0.000 0.283 0.000  -0.24
Mn 0.750 0.500 0.250  2.63
Hf 0.000 0.843 0.281  -0.18
Hf 0.500 0.717 0.500  -0.24
Hf 0.000 0.843 0.719  -0.18
Ga 0.000 0.559 0.500  -0.10
Ga 0.500 0.764 0.813  -0.05
Ga 0.000 0.236 0.313  -0.05
Ga 0.260 0.041 0.500  0.01
Ga 0.500 0.367 0.500  -0.08
Mn 0.250 0.500 0.250  2.63
Ga 0.760 0.959 0.000  0.01
Hf 0.500 0.157 0.219  -0.18
Hf 0.500 0.157 0.781  -0.18
Ga 0.000 0.236 0.687  -0.05
Ga 0.500 0.441 0.000  -0.10
Ga 0.500 0.764 0.187  -0.05
Ga 0.740 0.041 0.500  0.01
Mn 0.250 0.500 0.750  2.63
Mn 0.750 0.500 0.750  2.63

***

| no. | total DFT energy (no corrections) (eV/cell) |
| --- | --- |
| 1 | -87.83 |
| 2 | -115.82 |
| 3 | -12.00 |
| 4 | -656.57 |